1.
A relaxed structure of Ac2Er2In3. Source: Alexandria, functional PBE.

abc: 13.292 13.292 3.573
angles: 90.00 90.00 159.57
Fractional positions:
Ac 0.077 0.923 0.000
Ac 0.923 0.077 0.000
Er 0.207 0.793 0.000
Er 0.793 0.207 0.000
In 0.337 0.663 0.500
In 0.500 0.500 0.500
In 0.663 0.337 0.500

Values from the calculation:
* space-group type: No. 65
* crystal system: orthorhombic
* E_form: -0.268 eV/atom

---

2.
A relaxed structure of Zn3PH. Source: Alexandria, functional PBE.

abc: 4.061 4.061 4.061
angles: 90.00 90.00 90.00
Fractional positions:
Zn 0.000 0.000 0.500
Zn 0.000 0.500 0.000
Zn 0.500 0.000 0.000
P 0.500 0.500 0.500
H 0.000 0.000 0.000

Values from the calculation:
* space-group type: No. 221
* crystal system: cubic
* energy relative to the lowest polymorph listed for this composition: 0 kJ/mol of formula units

---

3.
A relaxed structure of PrDyMgCd. Source: Alexandria, functional PBE.

abc: 3.811 3.811 7.723
angles: 90.00 90.00 90.00
Fractional positions:
Pr 0.000 0.000 0.000
Dy 0.000 0.000 0.498
Mg 0.500 0.500 0.736
Cd 0.500 0.500 0.268

Values from the calculation:
* space-group type: No. 99
* crystal system: tetragonal
* E_form: -0.204 eV/atom
* energy relative to the lowest polymorph listed for this composition: 0 kJ/mol of formula units

---

4.
A relaxed structure of Ir5Br. Source: Alexandria, functional PBE.

abc: 4.467 7.537 7.537
angles: 21.57 90.00 90.00
Fractional positions:
Ir 0.000 0.000 0.000
Ir 0.000 0.319 0.319
Ir 0.000 0.655 0.655
Ir 0.500 0.111 0.111
Ir 0.500 0.763 0.763
Br 0.500 0.424 0.424

Values from the calculation:
* space-group type: No. 38
* uncorrected formation energy: 676.4 meV per atom
* crystal system: orthorhombic
* energy relative to the lowest polymorph listed for this composition: 90 kJ/mol of formula units

---

5.
A relaxed structure of YSc2W. Source: Alexandria, functional PBE.

abc: 10.643 10.643 10.643
angles: 156.63 156.63 33.29
Fractional positions:
Y 0.000 0.000 0.000
Y 0.750 0.250 0.500
Sc 0.152 0.625 0.027
Sc 0.375 0.402 0.527
Sc 0.598 0.125 0.973
Sc 0.875 0.848 0.473
W 0.250 0.750 0.500
W 0.500 0.500 0.000

Values from the calculation:
* space-group type: No. 122
* crystal system: tetragonal
* E_form: 0.744 eV/atom
* energy relative to the lowest polymorph listed for this composition: 185 kJ/mol of formula units

---

6.
A relaxed structure of La3InCo. Source: Alexandria, functional PBE.

abc: 9.943 6.236 10.664
angles: 90.00 119.06 90.00
Fractional positions:
La 0.046 0.098 0.320
La 0.046 0.402 0.820
La 0.312 0.186 0.686
La 0.312 0.314 0.186
La 0.388 0.739 0.927
La 0.388 0.761 0.427
La 0.612 0.239 0.573
La 0.612 0.261 0.073
La 0.688 0.686 0.814
La 0.688 0.814 0.314
La 0.954 0.598 0.180
La 0.954 0.902 0.680
In 0.146 0.646 0.545
In 0.146 0.854 0.045
In 0.854 0.146 0.955
In 0.854 0.354 0.455
Co 0.278 0.148 0.931
Co 0.278 0.352 0.431
Co 0.722 0.648 0.569
Co 0.722 0.852 0.069

Values from the calculation:
* space-group type: No. 14
* crystal system: monoclinic
* E_form: -0.261 eV/atom
* energy relative to the lowest polymorph listed for this composition: 15 kJ/mol of formula units

---

7.
A relaxed structure of Mg2NpAl3Ga6. Source: Alexandria, functional PBE.

abc: 4.042 4.042 14.545
angles: 90.00 90.00 90.00
Fractional positions:
Mg 0.000 0.000 0.106
Mg 0.000 0.000 0.894
Np 0.000 0.000 0.500
Al 0.500 0.500 0.000
Al 0.500 0.500 0.416
Al 0.500 0.500 0.584
Ga 0.000 0.500 0.301
Ga 0.000 0.500 0.699
Ga 0.500 0.000 0.301
Ga 0.500 0.000 0.699
Ga 0.500 0.500 0.176
Ga 0.500 0.500 0.824

Values from the calculation:
* space-group type: No. 123
* crystal system: tetragonal
* E_form: 0.045 eV/atom

---

8.
A relaxed structure of BaLaAg2. Source: Alexandria, functional PBE.

abc: 6.286 6.286 5.569
angles: 105.57 105.57 35.06
Fractional positions:
Ba 0.000 0.000 0.000
La 0.800 0.800 0.385
Ag 0.243 0.243 0.823
Ag 0.552 0.552 0.536

Values from the calculation:
* space-group type: No. 8
* crystal system: monoclinic
* E_form: -0.090 eV/atom

---

9.
A relaxed structure of Pm3Al3Pt2. Source: Alexandria, functional PBE.

abc: 8.201 15.227 5.783
angles: 90.00 90.00 90.00
Fractional positions:
Pm 0.038 0.111 0.116
Pm 0.038 0.389 0.116
Pm 0.179 0.250 0.620
Pm 0.321 0.750 0.120
Pm 0.462 0.611 0.616
Pm 0.462 0.889 0.616
Pm 0.538 0.111 0.384
Pm 0.538 0.389 0.384
Pm 0.679 0.250 0.880
Pm 0.821 0.750 0.380
Pm 0.962 0.611 0.884
Pm 0.962 0.889 0.884
Al 0.169 0.750 0.606
Al 0.177 0.035 0.608
Al 0.177 0.465 0.608
Al 0.323 0.535 0.108
Al 0.323 0.965 0.108
Al 0.331 0.250 0.106
Al 0.669 0.750 0.894
Al 0.677 0.035 0.892
Al 0.677 0.465 0.892
Al 0.823 0.535 0.392
Al 0.823 0.965 0.392
Al 0.831 0.250 0.394
Pt 0.109 0.605 0.372
Pt 0.109 0.895 0.372
Pt 0.391 0.105 0.872
Pt 0.391 0.395 0.872
Pt 0.609 0.605 0.128
Pt 0.609 0.895 0.128
Pt 0.891 0.105 0.628
Pt 0.891 0.395 0.628

Values from the calculation:
* space-group type: No. 62
* crystal system: orthorhombic
* E_form: -0.867 eV/atom
* energy relative to the lowest polymorph listed for this composition: 8 kJ/mol of formula units

---

10.
A relaxed structure of Sr2PbW. Source: Alexandria, functional PBE.

abc: 5.842 5.842 5.842
angles: 130.56 130.56 72.52
Fractional positions:
Sr 0.000 0.000 0.000
Sr 0.750 0.250 0.500
Pb 0.500 0.500 0.000
W 0.250 0.750 0.500

Values from the calculation:
* space-group type: No. 119
* crystal system: tetragonal
* E_form: 0.843 eV/atom

---

11.
A relaxed structure of SmHo2Ni. Source: Alexandria, functional PBE.

abc: 3.428 3.428 8.758
angles: 90.00 90.00 90.00
Fractional positions:
Sm 0.000 0.000 0.000
Ho 0.500 0.500 0.317
Ho 0.500 0.500 0.683
Ni 0.000 0.000 0.500

Values from the calculation:
* space-group type: No. 123
* crystal system: tetragonal
* E_form: -0.184 eV/atom
* energy relative to the lowest polymorph listed for this composition: 20 kJ/mol of formula units

---

12.
A relaxed structure of NaEr5In3. Source: Alexandria, functional PBE.

abc: 9.262 9.262 6.631
angles: 90.00 90.00 120.00
Fractional positions:
Na 0.000 0.000 0.000
Na 0.000 0.000 0.500
Er 0.000 0.318 0.250
Er 0.000 0.682 0.750
Er 0.318 0.000 0.250
Er 0.318 0.318 0.750
Er 0.333 0.667 0.000
Er 0.333 0.667 0.500
Er 0.667 0.333 0.000
Er 0.667 0.333 0.500
Er 0.682 0.000 0.750
Er 0.682 0.682 0.250
In 0.000 0.349 0.750
In 0.000 0.651 0.250
In 0.349 0.000 0.750
In 0.349 0.349 0.250
In 0.651 0.000 0.250
In 0.651 0.651 0.750

Values from the calculation:
* space-group type: No. 193
* crystal system: hexagonal
* E_form: -0.305 eV/atom

---

| no. | Fermi-level density of states (states/eV/cell) | magnetic moment (μB/f.u.) | E (eV for the cell shown) |
| --- | --- | --- | --- |
| 1 | 6.917 | 0.00 | -27.43 |
| 2 | 1.392 | 0.00 | -10.77 |
| 3 | 4.833 | 0.00 | -12.71 |
| 4 | 7.669 | 0.00 | -41.92 |
| 5 | 11.949 | 0.00 | -58.21 |
| 6 | 14.206 | 0.00 | -103.73 |
| 7 | 11.841 | 4.19 | -44.97 |
| 8 | 3.591 | 0.00 | -12.91 |
| 9 | 28.166 | 0.00 | -177.97 |
| 10 | 4.083 | 0.00 | -16.65 |
| 11 | 3.855 | 0.00 | -20.39 |
| 12 | 11.419 | 0.00 | -70.19 |